First-principles (PBE) data for crystalline TlRu2Rh at its relaxed geometry, as listed in Alexandria via LeMat-Bulk.

```
4
Lattice="-1.977 1.977 4.056 1.977 -1.977 4.056 1.977 1.977 -4.056" Properties=species:S:1:pos:R:3 pbc="T T T"
Tl 0.000 0.000 0.000
Ru 1.977 0.000 2.028
Ru 0.000 1.977 2.028
Rh 0.000 0.000 4.056
```

- Total moment: 0.0 μB per formula unit
- Formation energy from the elements: 0.445 eV/atom
- Distance to the lowest polymorph of the same formula: 139 meV/atom